(1)
! GdMgZn, optimized geometry, DFT PBE; values from VASP
&SYSTEM
  ibrav = 0, nat = 12, ntyp = 3
/
ATOMIC_SPECIES
Gd 157.25 Gd.upf
Mg 24.30 Mg.upf
Zn 65.41 Zn.upf
CELL_PARAMETERS angstrom
6.254 0.000 0.000
3.080 5.781 0.000
0.666 0.675 7.735
ATOMIC_POSITIONS angstrom
Gd 0.000 0.000 0.000
Gd 1.482 1.079 3.643
Gd 4.313 2.452 5.608
Gd 6.573 4.189 3.195
Mg 1.890 2.711 0.571
Mg 3.380 3.984 2.810
Mg 5.091 3.140 0.401
Mg 4.730 1.231 2.646
Zn 6.084 5.468 5.912
Zn 3.085 0.090 0.648
Zn 7.392 3.026 5.904
Zn 8.796 5.175 5.243
! volume = 279.7 Å³ per cell
! total DFT energy (no corrections) = -7.893 eV per formula unit
! SG = P1, No. 1

=====

(2)
! Nd3Mg3Tl2Ir, optimized geometry, DFT PBE; values from VASP
&SYSTEM
  ibrav = 0, nat = 9, ntyp = 4
/
ATOMIC_SPECIES
Nd 144.24 Nd.upf
Mg 24.30 Mg.upf
Tl 204.38 Tl.upf
Ir 192.22 Ir.upf
CELL_PARAMETERS angstrom
7.606 0.000 0.000
-3.803 6.587 0.000
0.000 0.000 4.604
ATOMIC_POSITIONS angstrom
Nd -1.477 2.559 0.000
Nd 2.955 0.000 0.000
Nd 2.325 4.028 0.000
Mg -2.943 5.097 2.302
Mg 0.860 1.490 2.302
Mg 5.885 0.000 2.302
Tl 0.000 4.391 2.302
Tl 3.803 2.196 2.302
Ir 0.000 0.000 0.000
! volume = 230.7 Å³ per cell
! total DFT energy (no corrections) = -36.197 eV per formula unit
! SG = P-62m, No. 189

=====

(3)
! DyHoPb4, optimized geometry, DFT PBE; values from VASP
&SYSTEM
  ibrav = 0, nat = 6, ntyp = 3
/
ATOMIC_SPECIES
Dy 162.50 Dy.upf
Ho 164.93 Ho.upf
Pb 207.20 Pb.upf
CELL_PARAMETERS angstrom
4.500 0.000 0.000
0.000 2.278 8.262
0.000 -2.278 8.262
ATOMIC_POSITIONS angstrom
Dy 0.000 0.000 0.000
Ho 2.250 0.000 13.391
Pb 0.000 0.000 5.553
Pb 0.000 0.000 10.817
Pb 2.250 0.000 2.583
Pb 2.250 0.000 7.832
! volume = 169.4 Å³ per cell
! total DFT energy (no corrections) = -26.155 eV per formula unit
! SG = Amm2, No. 38

=====

(4)
! Hf2ZrNi2Sb4Pd2, optimized geometry, DFT PBE; values from VASP
&SYSTEM
  ibrav = 0, nat = 11, ntyp = 5
/
ATOMIC_SPECIES
Hf 178.49 Hf.upf
Zr 91.22 Zr.upf
Ni 58.69 Ni.upf
Sb 121.76 Sb.upf
Pd 106.42 Pd.upf
CELL_PARAMETERS angstrom
6.876 0.000 0.000
0.000 4.127 0.000
-0.022 0.000 7.741
ATOMIC_POSITIONS angstrom
Hf 0.000 0.000 0.000
Hf 3.113 2.064 3.859
Zr 3.627 0.000 0.699
Ni 2.554 2.064 6.560
Ni 4.048 0.000 5.670
Sb 1.454 0.000 5.373
Sb 1.661 2.064 1.249
Sb 5.129 0.000 3.347
Sb 5.133 2.064 6.692
Pd 0.957 0.000 2.804
Pd 5.705 2.064 1.730
! volume = 219.7 Å³ per cell
! total DFT energy (no corrections) = -72.738 eV per formula unit
! SG = Pm, No. 6

=====

Question: Look up the volume of the fourth one.
Answer: 219.7 Å³ per cell

=====

Question: Which of these has the lowest volume?
Answer: DyHoPb4

=====

Question: Among the records above, which one has the lowest volume?
Answer: DyHoPb4

=====

Question: Among the records above, which one has the highest total DFT energy (no corrections)?
Answer: GdMgZn